Here is a relaxed structure of NiAsPt2 from Alexandria via LeMat-Bulk. Energies are from GGA-PBE.

Output
* formation enthalpy at 0 K: -0.32 eV per formula unit

Cell lengths 8.5050, 3.0811, 4.6506 Å; angles 90.00, 101.27, 90.00 degrees
Space group C2/m (No. 12)
Inequivalent atoms, fractional coordinates:
Ni  0.0000  0.0000  0.0000 (multiplicity 2)
As  0.0000  0.5000  0.5000 (multiplicity 2)
Pt  0.2450  0.5000  0.2428 (multiplicity 4)

Here is a relaxed structure of NiAs2Pt from Alexandria via LeMat-Bulk. Energies are from GGA-PBE.

Output
* formation enthalpy at 0 K: 0.00 eV per formula unit

Cell lengths 6.2824, 6.2824, 6.2824 Å; angles 90.00, 90.00, 90.00 degrees
Space group Fm-3m (No. 225)
Inequivalent atoms, fractional coordinates:
Ni  0.0000  0.0000  0.0000 (multiplicity 4)
As  0.2500  0.2500  0.2500 (multiplicity 8)
Pt  0.0000  0.0000  0.5000 (multiplicity 4)

Here is a relaxed structure of NiAs2Pt from Alexandria via LeMat-Bulk. Energies are from GGA-PBE.

Output
* formation enthalpy at 0 K: -0.31 eV per formula unit

Cell lengths 5.5396, 5.5396, 10.5683 Å; angles 90.00, 90.00, 90.00 degrees
Space group I-42d (No. 122)
Inequivalent atoms, fractional coordinates:
Ni  0.0000  0.0000  0.0000 (multiplicity 4)
As  0.2274  0.2500  0.1250 (multiplicity 8)
Pt  0.0000  0.0000  0.5000 (multiplicity 4)

Here is a relaxed structure of Pu2Ni4As3Pt from Alexandria via LeMat-Bulk. Energies are from GGA-PBE.

Output
* formation enthalpy at 0 K: -5.68 eV per formula unit

Cell lengths 4.0233, 4.0233, 10.1329 Å; angles 90.00, 90.00, 90.00 degrees
Space group P-4m2 (No. 115)
Inequivalent atoms, fractional coordinates:
Pu  0.0000  0.5000  0.2473 (multiplicity 2)
Ni  0.0000  0.0000  0.5000 (multiplicity 1)
Ni  0.0000  0.5000  0.8528 (multiplicity 2)
Ni  0.5000  0.5000  0.5000 (multiplicity 1)
As  0.0000  0.0000  0.0000 (multiplicity 1)
As  0.0000  0.5000  0.6272 (multiplicity 2)
Pt  0.5000  0.5000  0.0000 (multiplicity 1)

Here is a relaxed structure of Pu2Ni3As4Pt from Alexandria via LeMat-Bulk. Energies are from GGA-PBE.

Output
* formation enthalpy at 0 K: -6.48 eV per formula unit

Cell lengths 4.2353, 4.2353, 9.5211 Å; angles 90.00, 90.00, 90.00 degrees
Space group P-4m2 (No. 115)
Inequivalent atoms, fractional coordinates:
Pu  0.0000  0.5000  0.2414 (multiplicity 2)
Ni  0.0000  0.5000  0.8866 (multiplicity 2)
Ni  0.5000  0.5000  0.5000 (multiplicity 1)
As  0.0000  0.0000  0.0000 (multiplicity 1)
As  0.0000  0.5000  0.6440 (multiplicity 2)
As  0.5000  0.5000  0.0000 (multiplicity 1)
Pt  0.0000  0.0000  0.5000 (multiplicity 1)

Here is a relaxed structure of Pu2NiAs4Pt3 from Alexandria via LeMat-Bulk. Energies are from GGA-PBE.

Output
* formation enthalpy at 0 K: -6.16 eV per formula unit

Cell lengths 4.3715, 4.3715, 9.9307 Å; angles 90.00, 90.00, 90.00 degrees
Space group P-4m2 (No. 115)
Inequivalent atoms, fractional coordinates:
Pu  0.0000  0.5000  0.2465 (multiplicity 2)
Ni  0.5000  0.5000  0.0000 (multiplicity 1)
As  0.0000  0.0000  0.5000 (multiplicity 1)
As  0.0000  0.5000  0.8732 (multiplicity 2)
As  0.5000  0.5000  0.5000 (multiplicity 1)
Pt  0.0000  0.0000  0.0000 (multiplicity 1)
Pt  0.0000  0.5000  0.6265 (multiplicity 2)

Here is a relaxed structure of NiAs2PtSe from Alexandria via LeMat-Bulk. Energies are from GGA-PBE.

Output
* total DFT energy (no corrections): -20.0 eV per formula unit

Cell lengths 4.7877, 4.7877, 5.2183 Å; angles 90.00, 90.00, 90.00 degrees
Space group P4/mmm (No. 123)
Inequivalent atoms, fractional coordinates:
Ni  0.0000  0.0000  0.0000 (multiplicity 1)
As  0.0000  0.5000  0.5000 (multiplicity 2)
Pt  0.5000  0.5000  0.5000 (multiplicity 1)
Se  0.5000  0.5000  0.0000 (multiplicity 1)

Here is a relaxed structure of NiAs2PtSe from Alexandria via LeMat-Bulk. Energies are from GGA-PBE.

Output
* total DFT energy (no corrections): -21.9 eV per formula unit

Cell lengths 4.4821, 4.4821, 4.7461 Å; angles 90.00, 90.00, 90.00 degrees
Space group P4/mmm (No. 123)
Inequivalent atoms, fractional coordinates:
Ni  0.0000  0.0000  0.0000 (multiplicity 1)
As  0.0000  0.5000  0.0000 (multiplicity 2)
Pt  0.5000  0.5000  0.5000 (multiplicity 1)
Se  0.0000  0.0000  0.5000 (multiplicity 1)

Here is a relaxed structure of Sm2Ni4As3Pt from Alexandria via LeMat-Bulk. Energies are from GGA-PBE.

Output
* formation enthalpy at 0 K: -7.55 eV per formula unit

Cell lengths 4.0987, 4.0987, 9.9099 Å; angles 90.00, 90.00, 90.00 degrees
Space group P-4m2 (No. 115)
Inequivalent atoms, fractional coordinates:
Sm  0.0000  0.5000  0.2471 (multiplicity 2)
Ni  0.0000  0.0000  0.0000 (multiplicity 1)
Ni  0.0000  0.5000  0.6399 (multiplicity 2)
Ni  0.5000  0.5000  0.0000 (multiplicity 1)
As  0.0000  0.5000  0.8724 (multiplicity 2)
As  0.5000  0.5000  0.5000 (multiplicity 1)
Pt  0.0000  0.0000  0.5000 (multiplicity 1)

Here is a relaxed structure of Sm2NiAs3Pt4 from Alexandria via LeMat-Bulk. Energies are from GGA-PBE.

Output
* formation enthalpy at 0 K: -7.85 eV per formula unit

Cell lengths 4.3377, 4.3377, 10.0340 Å; angles 90.00, 90.00, 90.00 degrees
Space group P-4m2 (No. 115)
Inequivalent atoms, fractional coordinates:
Sm  0.0000  0.5000  0.2473 (multiplicity 2)
Ni  0.5000  0.5000  0.0000 (multiplicity 1)
As  0.0000  0.0000  0.0000 (multiplicity 1)
As  0.0000  0.5000  0.6357 (multiplicity 2)
Pt  0.0000  0.0000  0.5000 (multiplicity 1)
Pt  0.0000  0.5000  0.8774 (multiplicity 2)
Pt  0.5000  0.5000  0.5000 (multiplicity 1)

Here is a relaxed structure of Sr2NiAs4Pt3 from Alexandria via LeMat-Bulk. Energies are from GGA-PBE.

Output
* formation enthalpy at 0 K: -7.39 eV per formula unit

Cell lengths 4.4598, 4.4598, 10.0524 Å; angles 90.00, 90.00, 90.00 degrees
Space group P-4m2 (No. 115)
Inequivalent atoms, fractional coordinates:
Sr  0.0000  0.5000  0.2464 (multiplicity 2)
Ni  0.5000  0.5000  0.0000 (multiplicity 1)
As  0.0000  0.0000  0.5000 (multiplicity 1)
As  0.0000  0.5000  0.8760 (multiplicity 2)
As  0.5000  0.5000  0.5000 (multiplicity 1)
Pt  0.0000  0.0000  0.0000 (multiplicity 1)
Pt  0.0000  0.5000  0.6240 (multiplicity 2)

Here is a relaxed structure of SrNiAs2Pt from Alexandria via LeMat-Bulk. Energies are from GGA-PBE.

Output
* formation enthalpy at 0 K: -3.29 eV per formula unit

Cell lengths 4.3476, 4.3476, 10.4147 Å; angles 90.00, 90.00, 90.00 degrees
Space group I-4m2 (No. 119)
Inequivalent atoms, fractional coordinates:
Sr  0.0000  0.0000  0.0000 (multiplicity 2)
Ni  0.0000  0.5000  0.2500 (multiplicity 2)
As  0.0000  0.0000  0.3668 (multiplicity 4)
Pt  0.0000  0.5000  0.7500 (multiplicity 2)

Repeat the second record exactly.
Here is a relaxed structure of NiAs2Pt from Alexandria via LeMat-Bulk. Energies are from GGA-PBE.

Output
* formation enthalpy at 0 K: 0.00 eV per formula unit

Cell lengths 6.2824, 6.2824, 6.2824 Å; angles 90.00, 90.00, 90.00 degrees
Space group Fm-3m (No. 225)
Inequivalent atoms, fractional coordinates:
Ni  0.0000  0.0000  0.0000 (multiplicity 4)
As  0.2500  0.2500  0.2500 (multiplicity 8)
Pt  0.0000  0.0000  0.5000 (multiplicity 4)